1.
Here is a relaxed NaAg3B crystal from the Alexandria database. Energies are from PBE.

a b c (Å): 4.9690 4.9690 4.9690
angles (deg): 90.00 90.00 90.00
Closest atoms and distances in Å follow each position.
Space group Pm-3m (No. 221)
Symmetry-distinct sites (fractional):
Na1 0.0000 0.0000 0.0000  6 Ag 2.48
Ag1 0.0000 0.0000 0.5000  2 Na 2.48
B1 0.5000 0.5000 0.5000  12 Ag 3.51

Properties
DOS(E_F) = 0.405 states/eV/atom
E above lowest polymorph = 1414 meV per atom
M_tot = 0.00 Bohr magnetons per cell
DFT total energy = -8.21 eV for the cell shown
ΔH_f (0 K) = 1668 meV/atom

2.
Here is a relaxed NaNiAgB2 crystal from the Alexandria database. Energies are from PBE.

a b c (Å): 4.1340 4.1340 4.9976
angles (deg): 90.00 90.00 90.00
Closest atoms and distances in Å follow each position.
Space group P4/mmm (No. 123)
Symmetry-distinct sites (fractional):
Na1 0.0000 0.0000 0.0000  2 Ag 2.50
Ni1 0.5000 0.5000 0.0000  4 Na 2.92, 8 B 3.24
Ag1 0.0000 0.0000 0.5000  4 B 2.07
B1 0.0000 0.5000 0.5000  2 Ag 2.07

Properties
DOS(E_F) = 0.340 states/eV/atom
M_tot = 0.00 Bohr magnetons per cell
DFT total energy = -15.03 eV for the cell shown
ΔH_f (0 K) = 1656 meV/atom

3.
Here is a relaxed Na2AgBO4 crystal from the Alexandria database. Energies are from PBE.

a b c (Å): 5.5527 5.5527 5.9400
angles (deg): 90.00 90.00 90.00
Closest atoms and distances in Å follow each position.
Space group I-4 (No. 82)
Symmetry-distinct sites (fractional):
Na1 0.0000 0.0000 0.0000  4 O 2.27
Na2 0.0000 0.5000 0.2500  4 O 2.48
Ag1 0.0000 0.0000 0.5000  4 O 2.11
B1 0.0000 0.5000 0.7500  4 O 1.49
O1 0.1465 0.6693 0.6113  1 B 1.49

Properties
Energy relative to the elements, uncorrected = -128.3 kJ/mol of atoms
DOS(E_F) = 0.050 states/eV/atom
M_tot = 0.00 Bohr magnetons per cell
DFT total energy = -85.28 eV for the cell shown

4.
Here is a relaxed Na2AgB2Pd5 crystal from the Alexandria database. Energies are from PBE.

a b c (Å): 10.0361 10.0361 2.9723
angles (deg): 90.00 90.00 90.00
Closest atoms and distances in Å follow each position.
Space group P4/mbm (No. 127)
Symmetry-distinct sites (fractional):
Na1 0.1784 0.3216 0.0000  3 B 2.81-3.08, 10 Pd 2.94-3.04, 2 Na 2.97
Ag1 0.0000 0.0000 0.0000  8 Pd 2.83, 2 Ag 2.97
B1 0.1234 0.6234 0.0000  6 Pd 2.16-2.30
Pd1 0.0000 0.5000 0.5000  4 B 2.30
Pd2 0.0694 0.7701 0.5000  2 B 2.16

Properties
DOS(E_F) = 0.308 states/eV/atom
M_tot = 0.00 Bohr magnetons per cell
DFT total energy = -93.88 eV for the cell shown
ΔH_f (0 K) = -213 meV/atom

5.
Here is a relaxed Na3Ag2BPt3 crystal from the Alexandria database. Energies are from PBE.

a b c (Å): 7.7421 7.7421 2.8880
angles (deg): 90.00 90.00 120.00
Closest atoms and distances in Å follow each position.
Space group P-62m (No. 189)
Symmetry-distinct sites (fractional):
Na1 0.0000 0.3862 0.0000  4 Ag 2.80, 2 Na 2.89, 4 Pt 2.97, 1 B 2.99
Ag1 0.3333 0.6667 0.5000  6 Na 2.80, 2 Ag 2.89, 3 Pt 3.11
B1 0.0000 0.0000 0.0000  6 Pt 2.24
Pt1 0.0000 0.7796 0.5000  2 B 2.24

Properties
DOS(E_F) = 0.382 states/eV/atom
M_tot = 0.00 Bohr magnetons per cell
DFT total energy = -35.43 eV for the cell shown
ΔH_f (0 K) = -108 meV/atom

6.
Here is a relaxed Na2AgBSe4 crystal from the Alexandria database. Energies are from PBE.

a b c (Å): 7.2301 7.2301 6.8049
angles (deg): 90.00 90.00 90.00
Closest atoms and distances in Å follow each position.
Space group I-42m (No. 121)
Symmetry-distinct sites (fractional):
Na1 0.0000 0.5000 0.0000  4 Se 3.01
Ag1 0.0000 0.0000 0.0000  4 Se 2.66
B1 0.0000 0.0000 0.5000  4 Se 2.07
Se1 0.1581 0.1581 0.3101  1 B 2.07

Properties
Energy relative to the elements, uncorrected = -36.5 kJ/mol of atoms
DOS(E_F) = 1.065 states/eV/atom
M_tot = 0.01 Bohr magnetons per cell
DFT total energy = -58.26 eV for the cell shown

7.
Here is a relaxed Na2TiAgB crystal from the Alexandria database. Energies are from PBE.

a b c (Å): 5.4254 5.4254 4.1440
angles (deg): 90.00 90.00 90.00
Closest atoms and distances in Å follow each position.
Space group P4/mmm (No. 123)
Symmetry-distinct sites (fractional):
Na1 0.0000 0.5000 0.0000  2 Ag 2.71
Ti1 0.0000 0.0000 0.5000  8 Na 3.41
Ag1 0.5000 0.5000 0.0000  2 B 2.07
B1 0.5000 0.5000 0.5000  2 Ag 2.07

Properties
DOS(E_F) = 1.040 states/eV/atom
M_tot = 2.74 Bohr magnetons per cell
DFT total energy = -14.31 eV for the cell shown
ΔH_f (0 K) = 1150 meV/atom

8.
Here is a relaxed NaYAg2B crystal from the Alexandria database. Energies are from PBE.

a b c (Å): 5.6643 5.6643 4.7951
angles (deg): 90.00 90.00 90.00
Closest atoms and distances in Å follow each position.
Space group P4/mmm (No. 123)
Symmetry-distinct sites (fractional):
Na1 0.0000 0.0000 0.0000  8 Ag 3.71, 4 B 4.01
Y1 0.5000 0.5000 0.5000  2 B 2.40
Ag1 0.0000 0.5000 0.5000  2 Y 2.83
B1 0.5000 0.5000 0.0000  2 Y 2.40

Properties
DOS(E_F) = 0.880 states/eV/atom
M_tot = 0.54 Bohr magnetons per cell
DFT total energy = -15.17 eV for the cell shown
ΔH_f (0 K) = 999 meV/atom

9.
Here is a relaxed Nb4Ag2B crystal from the Alexandria database. Energies are from PBE.

a b c (Å): 4.3556 4.3556 13.5835
angles (deg): 90.00 90.00 90.00
Closest atoms and distances in Å follow each position.
Space group I4/mmm (No. 139)
Symmetry-distinct sites (fractional):
Nb1 0.0000 0.0000 0.1605  1 B 2.18
Nb2 0.0000 0.5000 0.0000  2 B 2.18
Ag1 0.0000 0.0000 0.3622  5 Nb 2.74-2.87
B1 0.0000 0.0000 0.0000  6 Nb 2.18

Properties
DOS(E_F) = 0.805 states/eV/atom
M_tot = 0.00 Bohr magnetons per cell
DFT total energy = -99.84 eV for the cell shown
ΔH_f (0 K) = 391 meV/atom

10.
Here is a relaxed NbAgB3 crystal from the Alexandria database. Energies are from PBE.

a b c (Å): 4.2833 4.2833 4.2833
angles (deg): 90.00 90.00 90.00
Closest atoms and distances in Å follow each position.
Space group Pm-3m (No. 221)
Symmetry-distinct sites (fractional):
Nb1 0.0000 0.0000 0.0000  6 B 2.14
Ag1 0.5000 0.5000 0.5000  12 B 3.03
B1 0.0000 0.0000 0.5000  2 Nb 2.14

Properties
DOS(E_F) = 0.376 states/eV/atom
E above lowest polymorph = 0 meV per atom
M_tot = 0.00 Bohr magnetons per cell
DFT total energy = -25.28 eV for the cell shown
ΔH_f (0 K) = 1534 meV/atom

11.
Here is a relaxed NbAgB3 crystal from the Alexandria database. Energies are from PBE.

a b c (Å): 4.0660 4.0660 4.0660
angles (deg): 90.00 90.00 90.00
Closest atoms and distances in Å follow each position.
Space group Pm-3m (No. 221)
Symmetry-distinct sites (fractional):
Nb1 0.0000 0.0000 0.0000  12 B 2.88
Ag1 0.5000 0.5000 0.5000  6 B 2.03
B1 0.0000 0.5000 0.5000  2 Ag 2.03

Properties
DOS(E_F) = 0.710 states/eV/atom
E above lowest polymorph = 457 meV per atom
M_tot = 0.00 Bohr magnetons per cell
DFT total energy = -23.00 eV for the cell shown
ΔH_f (0 K) = 1991 meV/atom

12.
Here is a relaxed NbAgB2 crystal from the Alexandria database. Energies are from PBE.

a b c (Å): 5.7584 5.7584 5.7584
angles (deg): 90.00 90.00 90.00
Closest atoms and distances in Å follow each position.
Space group Fm-3m (No. 225)
Symmetry-distinct sites (fractional):
Nb1 0.0000 0.0000 0.0000  8 B 2.49
Ag1 0.0000 0.0000 0.5000  8 B 2.49
B1 0.2500 0.2500 0.2500  4 Nb 2.49, 4 Ag 2.49

Properties
DOS(E_F) = 0.775 states/eV/atom
E above lowest polymorph = 0 meV per atom
M_tot = 0.00 Bohr magnetons per cell
DFT total energy = -92.69 eV for the cell shown
ΔH_f (0 K) = 776 meV/atom

13.
Here is a relaxed NbAgB2 crystal from the Alexandria database. Energies are from PBE.

a b c (Å): 3.8610 3.8610 16.1843
angles (deg): 90.00 90.00 90.00
Closest atoms and distances in Å follow each position.
Space group I-42d (No. 122)
Symmetry-distinct sites (fractional):
Nb1 0.0000 0.0000 0.0000  4 B 2.26
Ag1 0.0000 0.0000 0.5000  4 Nb 2.73, 4 B 2.79
B1 0.0718 0.2500 0.1250  2 B 2.01

Properties
DOS(E_F) = 0.432 states/eV/atom
E above lowest polymorph = 244 meV per atom
M_tot = 0.00 Bohr magnetons per cell
DFT total energy = -88.79 eV for the cell shown
ΔH_f (0 K) = 1019 meV/atom

14.
Here is a relaxed Nb2AgB crystal from the Alexandria database. Energies are from PBE.

a b c (Å): 6.8941 6.8941 5.3640
angles (deg): 90.00 90.00 90.00
Closest atoms and distances in Å follow each position.
Space group I-42d (No. 122)
Symmetry-distinct sites (fractional):
Nb1 0.1932 0.2500 0.1250  2 B 2.28
Ag1 0.0000 0.0000 0.5000  2 B 2.68, 8 Nb 2.81-2.96
B1 0.0000 0.0000 0.0000  4 Nb 2.28

Properties
DOS(E_F) = 0.946 states/eV/atom
M_tot = 0.00 Bohr magnetons per cell
DFT total energy = -112.00 eV for the cell shown
ΔH_f (0 K) = 417 meV/atom

15.
Here is a relaxed Sc2NbAgB crystal from the Alexandria database. Energies are from PBE.

a b c (Å): 4.7026 4.7026 4.1874
angles (deg): 90.00 90.00 90.00
Closest atoms and distances in Å follow each position.
Space group P4/mmm (No. 123)
Symmetry-distinct sites (fractional):
Sc1 0.0000 0.5000 0.0000  2 B 2.35
Nb1 0.0000 0.0000 0.5000  8 Sc 3.15, 4 Ag 3.33
Ag1 0.5000 0.5000 0.5000  2 B 2.09
B1 0.5000 0.5000 0.0000  2 Ag 2.09

Properties
DOS(E_F) = 1.610 states/eV/atom
M_tot = 1.67 Bohr magnetons per cell
DFT total energy = -30.42 eV for the cell shown
ΔH_f (0 K) = 368 meV/atom

16.
Here is a relaxed Nb2AgSnB crystal from the Alexandria database. Energies are from PBE.

a b c (Å): 5.2378 5.2378 4.0193
angles (deg): 90.00 90.00 90.00
Closest atoms and distances in Å follow each position.
Space group P4/mmm (No. 123)
Symmetry-distinct sites (fractional):
Nb1 0.0000 0.5000 0.0000  2 Sn 2.62
Ag1 0.0000 0.0000 0.5000  8 Nb 3.30
Sn1 0.5000 0.5000 0.0000  2 B 2.01
B1 0.5000 0.5000 0.5000  2 Sn 2.01

Properties
DOS(E_F) = 1.226 states/eV/atom
M_tot = 1.85 Bohr magnetons per cell
DFT total energy = -24.25 eV for the cell shown
ΔH_f (0 K) = 1885 meV/atom

17.
Here is a relaxed Ta2NbAgB crystal from the Alexandria database. Energies are from PBE.

a b c (Å): 4.8398 4.8398 5.1617
angles (deg): 90.00 90.00 90.00
Closest atoms and distances in Å follow each position.
Space group P4/mmm (No. 123)
Symmetry-distinct sites (fractional):
Ta1 0.0000 0.5000 0.0000  2 Nb 2.42
Nb1 0.0000 0.0000 0.0000  4 Ta 2.42, 2 Ag 2.58
Ag1 0.0000 0.0000 0.5000  2 Nb 2.58
B1 0.5000 0.5000 0.5000  4 Ag 3.42, 8 Ta 3.54

Properties
DOS(E_F) = 1.563 states/eV/atom
M_tot = 0.00 Bohr magnetons per cell
DFT total energy = -30.84 eV for the cell shown
ΔH_f (0 K) = 2492 meV/atom

18.
Here is a relaxed NbVAg2B crystal from the Alexandria database. Energies are from PBE.

a b c (Å): 5.0897 5.0897 4.0790
angles (deg): 90.00 90.00 90.00
Closest atoms and distances in Å follow each position.
Space group P4/mmm (No. 123)
Symmetry-distinct sites (fractional):
Nb1 0.0000 0.0000 0.0000  2 B 2.04
V1 0.5000 0.5000 0.5000  8 Ag 3.26, 4 B 3.60
Ag1 0.0000 0.5000 0.0000  2 Nb 2.54
B1 0.0000 0.0000 0.5000  2 Nb 2.04

Properties
DOS(E_F) = 0.909 states/eV/atom
M_tot = 0.70 Bohr magnetons per cell
DFT total energy = -22.45 eV for the cell shown
ΔH_f (0 K) = 1824 meV/atom

19.
Here is a relaxed NdAg2BO4 crystal from the Alexandria database. Energies are from PBE.

a b c (Å): 5.8997 5.8997 5.8673
angles (deg): 90.00 90.00 90.00
Closest atoms and distances in Å follow each position.
Space group I-42m (No. 121)
Symmetry-distinct sites (fractional):
Nd1 0.0000 0.0000 0.0000  4 O 2.39
Ag1 0.0000 0.5000 0.2500  4 O 2.33
B1 0.0000 0.0000 0.5000  4 O 1.51
O1 0.1469 0.1469 0.3505  1 B 1.51

Properties
Energy relative to the elements, uncorrected = -161.8 kJ/mol of atoms
DOS(E_F) = 0.026 states/eV/atom
M_tot = 0.00 Bohr magnetons per cell
DFT total energy = -100.80 eV for the cell shown

20.
Here is a relaxed NdAg2B2O6 crystal from the Alexandria database. Energies are from PBE.

a b c (Å): 5.4271 5.4271 6.2361
angles (deg): 90.00 90.00 120.00
Closest atoms and distances in Å follow each position.
Space group P-3 (No. 147)
Symmetry-distinct sites (fractional):
Nd1 0.0000 0.0000 0.0000  6 O 2.39
Ag1 0.3333 0.6667 0.2988  3 O 2.26
B1 0.3333 0.6667 0.7722  3 O 1.38
O1 0.1016 0.3940 0.7736  1 B 1.38

Properties
Energy relative to the elements, uncorrected = -178.5 kJ/mol of atoms
DOS(E_F) = 0.474 states/eV/atom
M_tot = 1.03 Bohr magnetons per cell
DFT total energy = -73.92 eV for the cell shown

21.
Here is a relaxed Nd3Ag2BRh3 crystal from the Alexandria database. Energies are from PBE.

a b c (Å): 7.6790 7.6790 3.5355
angles (deg): 90.00 90.00 120.00
Closest atoms and distances in Å follow each position.
Space group P-62m (No. 189)
Symmetry-distinct sites (fractional):
Nd1 0.0000 0.6417 0.0000  1 B 2.75, 4 Rh 2.98, 4 Ag 3.04
Ag1 0.3333 0.6667 0.5000  6 Nd 3.04, 3 Rh 3.16
B1 0.0000 0.0000 0.0000  6 Rh 2.38
Rh1 0.0000 0.2076 0.5000  2 B 2.38

Properties
DOS(E_F) = 0.399 states/eV/atom
M_tot = 0.00 Bohr magnetons per cell
DFT total energy = -52.29 eV for the cell shown
ΔH_f (0 K) = -394 meV/atom

22.
Here is a relaxed Nd2AgB2Rh5 crystal from the Alexandria database. Energies are from PBE.

a b c (Å): 9.7795 9.7795 3.2618
angles (deg): 90.00 90.00 90.00
Closest atoms and distances in Å follow each position.
Space group P4/mbm (No. 127)
Symmetry-distinct sites (fractional):
Nd1 0.1773 0.3227 0.0000  3 B 2.78-2.97, 10 Rh 2.95-3.06
Ag1 0.0000 0.0000 0.0000  8 Rh 2.86
B1 0.1216 0.6216 0.0000  6 Rh 2.24-2.34
Rh1 0.0000 0.5000 0.5000  4 B 2.34
Rh2 0.0700 0.7704 0.5000  2 B 2.24

Properties
DOS(E_F) = 0.397 states/eV/atom
M_tot = 0.00 Bohr magnetons per cell
DFT total energy = -135.52 eV for the cell shown
ΔH_f (0 K) = -526 meV/atom

23.
Here is a relaxed Ni2Ag2B crystal from the Alexandria database. Energies are from PBE.

a b c (Å): 5.3133 5.3133 4.6306
angles (deg): 90.00 90.00 90.00
Closest atoms and distances in Å follow each position.
Space group P4/mbm (No. 127)
Symmetry-distinct sites (fractional):
Ni1 0.1601 0.3399 0.0000  2 B 2.00
Ag1 0.1778 0.6778 0.5000  2 Ni 2.62, 5 Ag 2.67-2.77
B1 0.0000 0.0000 0.0000  4 Ni 2.00

Properties
DOS(E_F) = 0.261 states/eV/atom
M_tot = 0.00 Bohr magnetons per cell
DFT total energy = -46.47 eV for the cell shown
ΔH_f (0 K) = 141 meV/atom

24.
Here is a relaxed NiAg2B crystal from the Alexandria database. Energies are from PBE.

a b c (Å): 7.9663 7.9663 3.9100
angles (deg): 90.00 90.00 90.00
Closest atoms and distances in Å follow each position.
Space group I-42d (No. 122)
Symmetry-distinct sites (fractional):
Ni1 0.0000 0.0000 0.0000  2 B 1.96
Ag1 0.1172 0.7500 0.6250  2 B 2.25
B1 0.0000 0.0000 0.5000  2 Ni 1.96

Properties
DOS(E_F) = 0.624 states/eV/atom
M_tot = 0.00 Bohr magnetons per cell
DFT total energy = -63.21 eV for the cell shown
ΔH_f (0 K) = 590 meV/atom

25.
Here is a relaxed Ni3AgB crystal from the Alexandria database. Energies are from PBE.

a b c (Å): 4.6129 4.6129 4.6129
angles (deg): 90.00 90.00 90.00
Closest atoms and distances in Å follow each position.
Space group Pm-3m (No. 221)
Symmetry-distinct sites (fractional):
Ni1 0.0000 0.0000 0.5000  2 Ag 2.31
Ag1 0.0000 0.0000 0.0000  6 Ni 2.31
B1 0.5000 0.5000 0.5000  12 Ni 3.26

Properties
DOS(E_F) = 1.276 states/eV/atom
E above lowest polymorph = 2235 meV per atom
M_tot = 2.24 Bohr magnetons per cell
DFT total energy = -15.57 eV for the cell shown
ΔH_f (0 K) = 2260 meV/atom